(1)
Material: DyPuSb
Method: DFT, PBE
State: relaxed

Geometry as POSCAR:
```
DyPuSb
1.0
4.034 0.000 0.000
0.000 4.034 0.000
-2.017 -2.017 4.985
Pu Sb Dy
1 1 1
direct
0.960 0.960 0.919
0.621 0.621 0.242
0.269 0.269 0.539
```

Values from the calculation:
As for the density of states at the Fermi level: 7.85 states/eV/f.u. For the magnetization, the calculation gives 6.60 Bohr magnetons per cell. Its raw formation energy is -0.461 eV/atom. The value obtained for the theoretical density is 10.81 g/cm³.

(2)
Material: FeCu2
Method: DFT, PBE
State: relaxed

Geometry as POSCAR:
```
FeCu2
1.0
5.651 0.000 0.000
0.000 5.651 0.000
0.000 0.000 5.651
Fe Cu
4 8
direct
0.000 0.500 0.500
0.500 0.500 0.000
0.000 0.000 0.000
0.500 0.000 0.500
0.875 0.375 0.125
0.375 0.375 0.375
0.625 0.625 0.625
0.625 0.875 0.125
0.125 0.625 0.875
0.875 0.125 0.625
0.375 0.125 0.875
0.125 0.875 0.375
```

Values from the calculation:
As for the density of states at the Fermi level: 3.23 states/eV/f.u. For the magnetization, the calculation gives 12.18 Bohr magnetons per cell. The energy relative to the elements is 0.904 eV per atom. The value obtained for the theoretical density is 6.73 g/cm³.

Electronic total energy: -8.147, -4.648 (eV/atom)